# 1
8
Lattice="4.470 0.000 0.000 0.000 4.470 0.000 -2.235 -2.235 10.625" Properties=species:S:1:pos:R:3 comment="TlSb2S (PBEsol, relaxed)" e_tot_ev_per_atom=-3.9688 spacegroup="I-42d, No. 122" pbc="T T T"
S 2.235 2.235 0.000
S 2.235 0.000 5.312
Sb 1.313 3.352 2.656
Sb 1.117 0.922 7.969
Sb 3.157 1.117 2.656
Sb -1.117 -0.922 7.969
Tl 0.000 0.000 0.000
Tl 0.000 2.235 5.312

# 2
5
Lattice="5.333 0.000 0.000 0.000 5.333 0.000 0.000 0.000 5.333" Properties=species:S:1:pos:R:3 comment="Tl3SbS (PBEsol, relaxed)" e_tot_ev_per_atom=-3.1040 spacegroup="Pm-3m, No. 221" pbc="T T T"
Sb 2.666 2.666 2.666
Tl 2.666 0.000 0.000
Tl 0.000 0.000 2.666
Tl 0.000 2.666 0.000
S 0.000 0.000 0.000

# 3
5
Lattice="-0.629 -4.041 2.211 4.531 -0.142 1.030 -0.828 2.295 3.958" Properties=species:S:1:pos:R:3 comment="SbWS3 (PBEsol, relaxed)" e_tot_ev_per_atom=-6.1905 spacegroup="Pm-3m, No. 221" pbc="T T T"
S 2.266 -0.071 0.515
S -0.414 1.147 1.979
S -0.315 -2.020 1.106
Sb 1.537 -0.944 3.600
W 0.000 0.000 0.000

# 4
5
Lattice="5.078 0.000 0.000 0.000 5.078 0.000 0.000 0.000 5.078" Properties=species:S:1:pos:R:3 comment="Y3SbS (PBEsol, relaxed)" e_tot_ev_per_atom=-6.8650 spacegroup="Pm-3m, No. 221" pbc="T T T"
Y 0.000 2.539 0.000
Y 2.539 0.000 0.000
Y 0.000 0.000 2.539
Sb 2.539 2.539 2.539
S 0.000 0.000 0.000

# 5
5
Lattice="5.165 0.000 0.000 -2.582 5.082 0.014 0.000 2.612 4.456" Properties=species:S:1:pos:R:3 comment="Y2SbS2 (PBEsol, relaxed)" e_tot_ev_per_atom=-6.8643 spacegroup="I4/mmm, No. 139" pbc="T T T"
Y 0.000 3.194 1.121
Y 2.582 4.500 3.349
Sb 0.000 0.000 0.000
S 2.582 2.551 1.498
S 0.000 5.143 2.972

# 6
18
Lattice="-3.671 4.107 2.426 -6.120 -5.693 0.377 5.270 0.910 6.435" Properties=species:S:1:pos:R:3 comment="Zr5Sb3S (PBEsol, relaxed)" e_tot_ev_per_atom=-8.1040 spacegroup="P6_3/mcm, No. 193" pbc="T T T"
Zr -7.350 -1.196 2.103
Zr -2.441 -0.390 0.700
Zr -4.159 -1.439 3.609
Zr -2.965 1.890 3.514
Zr 0.394 1.253 2.208
Zr -2.323 -3.492 2.397
Zr 1.473 -1.291 4.416
Zr -0.362 0.763 5.628
Zr -1.556 -2.566 5.723
Zr 1.205 3.764 6.653
Sb -5.194 0.810 1.970
Sb -0.652 3.443 4.385
Sb -1.257 -0.881 3.323
Sb -4.597 -2.396 0.833
Sb 2.250 1.574 4.475
Sb -3.265 0.205 5.915
S -1.836 2.054 1.213
S 0.000 0.000 0.000